Record 1
A plane-wave DFT calculation with GGA+U was carried out for La2VSbF after structural relaxation.

Structure (POSCAR):
```
La2VSbF
1.0
5.2594 0.0000 0.0000
0.0000 5.2594 0.0000
0.0000 0.0000 4.3664
La V Sb F
2 1 1 1
direct
0.0000 0.5000 0.0000
0.5000 0.0000 0.0000
0.0000 0.0000 0.5000
0.5000 0.5000 0.5000
0.0000 0.0000 0.0000
```

Properties
Space group: No. 123
Total energy (eV per cell): -28.150

Record 2
A plane-wave DFT calculation with GGA+U was carried out for LaSbWF2 after structural relaxation.

Structure (POSCAR):
```
LaSbWF2
1.0
4.3424 0.0000 0.0000
0.0000 4.3424 0.0000
0.0000 0.0000 7.7606
La Sb W F
1 1 1 2
direct
0.0000 0.0000 0.0000
0.5000 0.5000 0.0000
0.0000 0.0000 0.5000
0.0000 0.5000 0.5000
0.5000 0.0000 0.5000
```

Properties
Space group: No. 123
Total energy (eV per cell): -26.141

Question: Which of these has the lowest total energy?
Answer: La2VSbF

Question: Among the records above, which one has the highest total energy?
Answer: LaSbWF2

Question: What is the formula in the first record?
Answer: La2VSbF

Question: Which value of total energy does entry 2 give?
Answer: -26.141 eV per cell